A geometry-optimized Nd4IrSeCl2 structure. Source: Alexandria via LeMat-Bulk, functional PBE-GGA.

```
Nd4IrSeCl2
1.0
4.103 0.000 0.000
0.000 7.434 -0.178
0.000 2.590 7.135
Nd Ir Se Cl
4 1 1 2
direct
0.000 0.726 0.743
0.000 0.274 0.257
0.500 0.715 0.283
0.500 0.285 0.717
0.000 0.500 0.500
0.500 0.500 0.000
0.000 0.000 0.000
0.500 0.000 0.500
```

Computed properties:
Crystal system: monoclinic
Energy relative to the elements, uncorrected, eV/atom: -1.381
ρ, g cm⁻³: 6.95
DOS at the Fermi energy, states/eV/f.u.: 4.7
M_tot, Bohr magnetons per cell: 0.0
V, Å³ per cell: 219.5